# CsCrTc2O8 (GGA+U, optimized geometry)
data_CsCrTc2O8
_symmetry_space_group_name_H-M 'P -3'
_symmetry_Int_Tables_number 147
_cell_length_a 5.4444
_cell_length_b 5.4444
_cell_length_c 8.8140
_cell_angle_alpha 90.00
_cell_angle_beta 90.00
_cell_angle_gamma 120.00
loop_
_symmetry_equiv_pos_as_xyz
'x,y,z'
'-x,-y,-z'
'-y,x-y,z'
'y,-x+y,-z'
'-x+y,-x,z'
'x-y,x,-z'
loop_
_atom_site_label
_atom_site_fract_x
_atom_site_fract_y
_atom_site_fract_z
_atom_site_occupancy
Cs1 0.0000 0.0000 0.0000 1
Cr1 0.0000 0.0000 0.5000 1
Tc1 0.3333 0.6667 0.7023 1
O1 0.0563 0.3303 0.6376 1
O2 0.3333 0.6667 0.9009 1
# Spin magnetization (μB/f.u.): 5.06
# Raw total energy (eV per atom): -7.30
# DOS at the Fermi energy (states/eV per atom): 0.334